Record 1
An optimized crystal structure of K3SrF6, computed with PBE.

Lattice parameters (Å, degrees): 6.701 6.911 8.874 90.00 88.85 90.00
Fractional positions:
F (0.342, 0.595, 0.735)
F (0.658, 0.405, 0.265)
F (0.842, 0.905, 0.235)
F (0.158, 0.095, 0.765)
F (0.805, 0.727, 0.908)
F (0.777, 0.701, 0.578)
F (0.723, 0.201, 0.922)
F (0.195, 0.273, 0.092)
F (0.695, 0.227, 0.592)
F (0.305, 0.773, 0.408)
F (0.277, 0.799, 0.078)
F (0.223, 0.299, 0.422)
Sr (0.500, 0.500, 0.500)
Sr (0.000, 0.000, 0.000)
K (0.000, 0.000, 0.500)
K (0.479, 0.055, 0.246)
K (0.979, 0.445, 0.746)
K (0.021, 0.555, 0.254)
K (0.521, 0.945, 0.754)
K (0.500, 0.500, 0.000)

Computed properties:
The value obtained for the formation energy (no corrections) is -2781 meV/atom. As for the space-group type: P2_1/c. The final energy comes out at -4.401 eV/atom.

***

Record 2
An optimized crystal structure of La2BeP4Ir3, computed with PBE.

Lattice parameters (Å, degrees): 4.233 4.233 9.511 90.00 90.00 90.00
Fractional positions:
P (0.500, 0.500, 0.000)
P (0.500, 0.000, 0.631)
P (0.000, 0.500, 0.369)
P (0.000, 0.000, 0.000)
Ir (0.000, 0.500, 0.112)
Ir (0.000, 0.000, 0.500)
Ir (0.500, 0.000, 0.888)
Be (0.500, 0.500, 0.500)
La (0.000, 0.500, 0.755)
La (0.500, 0.000, 0.245)

Computed properties:
As for the space-group type: P-4m2. The calculation puts the formation energy at -890 kJ/mol of formula units. The final energy comes out at -7.103 eV/atom.

***

Record 3
An optimized crystal structure of InCu2Au2, computed with PBE.

Lattice parameters (Å, degrees): 7.383 7.383 3.159 90.00 90.00 90.00
Fractional positions:
Au (0.639, 0.139, 0.000)
Au (0.361, 0.861, 0.000)
Au (0.139, 0.361, 0.000)
Au (0.861, 0.639, 0.000)
Cu (0.657, 0.843, 0.500)
Cu (0.843, 0.343, 0.500)
Cu (0.343, 0.157, 0.500)
Cu (0.157, 0.657, 0.500)
In (0.000, 0.000, 0.000)
In (0.500, 0.500, 0.000)

Computed properties:
As for the space-group type: P4/mbm. For the relative energy among the computed polymorphs, the calculation gives 26.3 meV/atom. The calculation puts the formation energy at -12 kJ/mol of formula units. The final energy comes out at -3.522 eV/atom.

***

Record 4
An optimized crystal structure of RePWS2, computed with PBE.

Lattice parameters (Å, degrees): 4.494 4.494 4.860 90.00 90.00 90.00
Fractional positions:
P (0.000, 0.000, 0.500)
S (0.000, 0.500, 0.000)
S (0.500, 0.000, 0.000)
W (0.500, 0.500, 0.500)
Re (0.000, 0.000, 0.000)

Computed properties:
The value obtained for the formation energy (no corrections) is 1306 meV/atom. As for the space-group type: P4/mmm. For the relative energy among the computed polymorphs, the calculation gives 92.1 meV/atom. The final energy comes out at -6.507 eV/atom.

***

Record 5
An optimized crystal structure of Pm2Sm2DyMg, computed with PBE.

Lattice parameters (Å, degrees): 5.391 10.249 6.912 90.00 90.00 90.00
Fractional positions:
Pm (0.500, 0.839, 0.258)
Pm (0.000, 0.339, 0.242)
Pm (0.000, 0.661, 0.758)
Pm (0.500, 0.161, 0.742)
Sm (0.000, 0.659, 0.241)
Sm (0.500, 0.159, 0.259)
Sm (0.000, 0.341, 0.759)
Sm (0.500, 0.841, 0.741)
Dy (0.500, 0.500, 0.500)
Dy (0.000, 0.000, 0.000)
Mg (0.500, 0.500, 0.000)
Mg (0.000, 0.000, 0.500)

Computed properties:
As for the space-group type: Pnnm. The calculation puts the formation energy at 59 kJ/mol of formula units. The final energy comes out at -4.087 eV/atom.

***

Values for calculated density, g/cm3, ordered as above
2.6; 9.6; 12.3; 7.9; 6.8